PmCuH (PBE-GGA, relaxed); DFT total energy = -4.4404 eV/atom; distance to the lowest polymorph of the same formula = 0.000 eV/atom; crystal system = monoclinic
1.0
-0.225 1.708 -3.516
-3.823 0.962 0.713
1.740 6.167 1.010
Pm Cu H
2 2 2
Direct
0.477 0.716 0.096
0.146 0.216 0.696
0.884 0.217 0.289
0.739 0.716 0.504
0.560 0.216 0.899
0.063 0.716 0.894